Compound: Cs5FeO4
Source: Alexandria via LeMat-Bulk
Functional: GGA+U
Structure: relaxed

abc: 11.499 13.140 7.444
angles: 90.00 98.85 90.00
Atoms (fractional coordinates):
Cs (0.003, 0.134, 0.430)
Cs (0.003, 0.366, 0.930)
Cs (0.133, 0.069, 0.952)
Cs (0.133, 0.431, 0.452)
Cs (0.270, 0.702, 0.527)
Cs (0.270, 0.798, 0.027)
Cs (0.349, 0.176, 0.659)
Cs (0.349, 0.324, 0.159)
Cs (0.492, 0.573, 0.239)
Cs (0.492, 0.927, 0.739)
Cs (0.508, 0.073, 0.261)
Cs (0.508, 0.427, 0.761)
Cs (0.651, 0.676, 0.841)
Cs (0.651, 0.824, 0.341)
Cs (0.730, 0.202, 0.973)
Cs (0.730, 0.298, 0.473)
Cs (0.867, 0.569, 0.548)
Cs (0.867, 0.931, 0.048)
Cs (0.997, 0.634, 0.070)
Cs (0.997, 0.866, 0.570)
Fe (0.246, 0.531, 0.889)
Fe (0.246, 0.969, 0.389)
Fe (0.754, 0.031, 0.611)
Fe (0.754, 0.469, 0.111)
O (0.111, 0.592, 0.743)
O (0.111, 0.908, 0.243)
O (0.226, 0.529, 0.142)
O (0.226, 0.971, 0.642)
O (0.261, 0.111, 0.315)
O (0.261, 0.389, 0.815)
O (0.389, 0.605, 0.859)
O (0.389, 0.895, 0.359)
O (0.611, 0.105, 0.641)
O (0.611, 0.395, 0.141)
O (0.739, 0.611, 0.185)
O (0.739, 0.889, 0.685)
O (0.774, 0.029, 0.358)
O (0.774, 0.471, 0.858)
O (0.889, 0.092, 0.757)
O (0.889, 0.408, 0.257)

As for the symmetry: P2_1/c (14). The energy above the most stable polymorph in this dataset is 5 meV/atom.